# 1
Computed, not measured: a geometry-optimized Ce2ZrWN5 structure at the GGA-PBE level of DFT.

a b c (Å): 6.479 6.479 5.917
angles (deg): 90.00 90.00 90.00
Space group P4/mbm (No. 127)
Asymmetric unit:
Ce  0.168  0.332  0.000 (multiplicity 4)
Zr  0.000  0.000  0.500 (multiplicity 2)
W  0.000  0.500  0.500 (multiplicity 2)
N  0.000  0.000  0.000 (multiplicity 2)
N  0.155  0.655  0.271 (multiplicity 8)

Uncorrected formation energy in kJ/mol of atoms: -70
E in eV per cell: -163.01
Total magnetization in μB per formula unit: 0.00

=====

# 2
Computed, not measured: a geometry-optimized Ce4Y2N structure at the GGA-PBE level of DFT.

a b c (Å): 4.896 4.896 16.821
angles (deg): 90.00 90.00 90.00
Space group I4/mmm (No. 139)
Asymmetric unit:
Ce  0.000  0.000  0.138 (multiplicity 4)
Ce  0.000  0.500  0.000 (multiplicity 4)
Y  0.000  0.000  0.343 (multiplicity 4)
N  0.000  0.000  0.000 (multiplicity 2)

Uncorrected formation energy in kJ/mol of atoms: -16
E in eV per cell: -92.27
Total magnetization in μB per formula unit: 1.81

=====

# 3
Computed, not measured: a geometry-optimized Ce4YN5 structure at the GGA-PBE level of DFT.

a b c (Å): 3.552 3.552 25.076
angles (deg): 90.00 90.00 90.00
Space group I4/mmm (No. 139)
Asymmetric unit:
Ce  0.000  0.000  0.099 (multiplicity 4)
Ce  0.000  0.000  0.300 (multiplicity 4)
Y  0.000  0.000  0.500 (multiplicity 2)
N  0.000  0.000  0.000 (multiplicity 2)
N  0.000  0.000  0.199 (multiplicity 4)
N  0.000  0.000  0.402 (multiplicity 4)

Uncorrected formation energy in kJ/mol of atoms: -148
E in eV per cell: -174.31
Total magnetization in μB per formula unit: 0.35

=====

# 4
Computed, not measured: a geometry-optimized Ce2YN4 structure at the GGA-PBE level of DFT.

a b c (Å): 7.527 7.527 6.947
angles (deg): 90.00 90.00 90.00
Space group I-42d (No. 122)
Asymmetric unit:
Ce  0.141  0.750  0.125 (multiplicity 8)
Y  0.000  0.000  0.500 (multiplicity 4)
N  0.070  0.690  0.439 (multiplicity 16)

Uncorrected formation energy in kJ/mol of atoms: -113
E in eV per cell: -239.30
Total magnetization in μB per formula unit: 0.00

=====

# 5
Computed, not measured: a geometry-optimized CeYN2 structure at the GGA-PBE level of DFT.

a b c (Å): 3.4801 3.4801 17.9534
angles (deg): 90.00 90.00 120.00
Space group R3m (No. 160, hexagonal axes)
Asymmetric unit:
Ce  0.0000  0.0000  0.0000 (multiplicity 3)
Y  0.0000  0.0000  0.8272 (multiplicity 3)
N  0.0000  0.0000  0.4159 (multiplicity 3)
N  0.0000  0.0000  0.5856 (multiplicity 3)

Uncorrected formation energy in kJ/mol of atoms: -130
E in eV per cell: -103.28
Total magnetization in μB per formula unit: 0.57

=====

# 6
Computed, not measured: a geometry-optimized CeY4N5 structure at the GGA-PBE level of DFT.

a b c (Å): 7.811 7.811 4.940
angles (deg): 90.00 90.00 90.00
Space group I4/m (No. 87)
Asymmetric unit:
Ce  0.000  0.000  0.000 (multiplicity 2)
Y  0.100  0.302  0.500 (multiplicity 8)
N  0.000  0.000  0.500 (multiplicity 2)
N  0.098  0.297  0.000 (multiplicity 8)

Uncorrected formation energy in kJ/mol of atoms: -160
E in eV per cell: -180.04
Total magnetization in μB per formula unit: 0.00

=====

# 7
Computed, not measured: a geometry-optimized Ce2YN3 structure at the GGA-PBE level of DFT.

a b c (Å): 3.540 5.001 10.627
angles (deg): 90.00 90.00 90.00
Space group Immm (No. 71)
Asymmetric unit:
Ce  0.000  0.000  0.166 (multiplicity 4)
Y  0.000  0.000  0.500 (multiplicity 2)
N  0.000  0.500  0.166 (multiplicity 4)
N  0.000  0.500  0.500 (multiplicity 2)

Energy relative to the lowest polymorph listed for this composition in eV per atom: 0.000
Uncorrected formation energy in kJ/mol of atoms: -150
E in eV per cell: -105.27
Total magnetization in μB per formula unit: 0.50

=====

# 8
Computed, not measured: a geometry-optimized Ce2YN3 structure at the GGA-PBE level of DFT.

a b c (Å): 7.082 5.007 10.619
angles (deg): 90.00 90.00 90.00
Space group Pnma (No. 62)
Asymmetric unit:
Ce  0.124  0.250  0.250 (multiplicity 4)
Ce  0.127  0.250  0.583 (multiplicity 4)
Y  0.124  0.250  0.917 (multiplicity 4)
N  0.125  0.750  0.249 (multiplicity 4)
N  0.125  0.750  0.916 (multiplicity 4)
N  0.129  0.750  0.583 (multiplicity 4)

Energy relative to the lowest polymorph listed for this composition in eV per atom: 0.003
Uncorrected formation energy in kJ/mol of atoms: -150
E in eV per cell: -210.46
Total magnetization in μB per formula unit: 0.65

=====

# 9
Computed, not measured: a geometry-optimized Ce3YN structure at the GGA-PBE level of DFT.

a b c (Å): 4.958 4.958 4.958
angles (deg): 90.00 90.00 90.00
Space group Pm-3m (No. 221)
Asymmetric unit:
Ce  0.000  0.000  0.500 (multiplicity 3)
Y  0.500  0.500  0.500 (multiplicity 1)
N  0.000  0.000  0.000 (multiplicity 1)

Uncorrected formation energy in kJ/mol of atoms: -49
E in eV per cell: -35.12
Total magnetization in μB per formula unit: 0.00

=====

# 10
Computed, not measured: a geometry-optimized Ce2Y5N5 structure at the GGA-PBE level of DFT.

a b c (Å): 11.662 3.383 12.445
angles (deg): 90.00 107.18 90.00
Space group C2/m (No. 12)
Asymmetric unit:
Ce  0.055  0.000  0.296 (multiplicity 4)
Y  0.000  0.500  0.000 (multiplicity 2)
Y  0.149  0.500  0.560 (multiplicity 4)
Y  0.222  0.500  0.879 (multiplicity 4)
N  0.000  0.000  0.500 (multiplicity 2)
N  0.121  0.000  0.941 (multiplicity 4)
N  0.179  0.500  0.385 (multiplicity 4)

Uncorrected formation energy in kJ/mol of atoms: -108
E in eV per cell: -198.60
Total magnetization in μB per formula unit: 1.65

=====

# 11
Computed, not measured: a geometry-optimized CeYN2 structure at the GGA-PBE level of DFT.

a b c (Å): 3.4699 3.4699 6.0740
angles (deg): 90.00 90.00 120.00
Space group P-3m1 (No. 164)
Asymmetric unit:
Ce  0.0000  0.0000  0.0000 (multiplicity 1)
Y  0.0000  0.0000  0.5000 (multiplicity 1)
N  0.3333  0.6667  0.7471 (multiplicity 2)

Uncorrected formation energy in kJ/mol of atoms: -118
E in eV per cell: -33.96
Total magnetization in μB per formula unit: 0.73

=====

# 12
Computed, not measured: a geometry-optimized CeY2N3 structure at the GGA-PBE level of DFT.

a b c (Å): 3.5100 3.5100 8.5932
angles (deg): 90.00 90.00 120.00
Space group P-3m1 (No. 164)
Asymmetric unit:
Ce  0.0000  0.0000  0.0000 (multiplicity 1)
Y  0.3333  0.6667  0.3386 (multiplicity 2)
N  0.0000  0.0000  0.5000 (multiplicity 1)
N  0.3333  0.6667  0.8333 (multiplicity 2)

Uncorrected formation energy in kJ/mol of atoms: -157
E in eV per cell: -53.59
Total magnetization in μB per formula unit: 0.36

=====

# 13
Computed, not measured: a geometry-optimized Ce5Y3N8 structure at the GGA-PBE level of DFT.

a b c (Å): 7.0691 7.0691 17.3309
angles (deg): 90.00 90.00 120.00
Space group R-3m (No. 166, hexagonal axes)
Asymmetric unit:
Ce  0.0000  0.0000  0.0000 (multiplicity 3)
Ce  0.0000  0.0000  0.5000 (multiplicity 3)
Ce  0.0000  0.5000  0.0000 (multiplicity 9)
Y  0.0000  0.5000  0.5000 (multiplicity 9)
N  0.0000  0.0000  0.2503 (multiplicity 6)
N  0.0012  0.5006  0.7507 (multiplicity 18)

Uncorrected formation energy in kJ/mol of atoms: -151
E in eV per cell: -422.07
Total magnetization in μB per formula unit: 1.29

=====

# 14
Computed, not measured: a geometry-optimized CeYZnN3 structure at the GGA-PBE level of DFT.

a b c (Å): 7.164 3.412 7.386
angles (deg): 90.00 98.57 90.00
Space group P2_1/m (No. 11)
Asymmetric unit:
Ce  0.197  0.250  0.182 (multiplicity 2)
Y  0.174  0.250  0.642 (multiplicity 2)
Zn  0.403  0.750  0.899 (multiplicity 2)
N  0.123  0.750  0.867 (multiplicity 2)
N  0.152  0.750  0.403 (multiplicity 2)
N  0.472  0.750  0.187 (multiplicity 2)

Uncorrected formation energy in kJ/mol of atoms: -90
E in eV per cell: -88.48
Total magnetization in μB per formula unit: 0.00

=====

# 15
Computed, not measured: a geometry-optimized Ce2YZnN structure at the GGA-PBE level of DFT.

a b c (Å): 4.841 4.841 4.819
angles (deg): 90.00 90.00 90.00
Space group P4/mmm (No. 123)
Asymmetric unit:
Ce  0.000  0.500  0.000 (multiplicity 2)
Y  0.000  0.000  0.500 (multiplicity 1)
Zn  0.500  0.500  0.500 (multiplicity 1)
N  0.000  0.000  0.000 (multiplicity 1)

Uncorrected formation energy in kJ/mol of atoms: -63
E in eV per cell: -31.22
Total magnetization in μB per formula unit: 1.21

=====

# 16
Computed, not measured: a geometry-optimized CeY3Zr2N6 structure at the GGA-PBE level of DFT.

a b c (Å): 14.884 3.404 6.845
angles (deg): 90.00 103.31 90.00
Space group C2/m (No. 12)
Asymmetric unit:
Ce  0.000  0.000  0.000 (multiplicity 2)
Y  0.000  0.000  0.500 (multiplicity 2)
Y  0.168  0.500  0.831 (multiplicity 4)
Zr  0.169  0.500  0.339 (multiplicity 4)
N  0.007  0.500  0.255 (multiplicity 4)
N  0.168  0.000  0.099 (multiplicity 4)
N  0.171  0.000  0.575 (multiplicity 4)

Uncorrected formation energy in kJ/mol of atoms: -161
E in eV per cell: -224.70
Total magnetization in μB per formula unit: 0.00

=====

# 17
Computed, not measured: a geometry-optimized Ce3Y2ZrN6 structure at the GGA-PBE level of DFT.

a b c (Å): 6.015 10.415 6.056
angles (deg): 90.00 109.33 90.00
Space group C2/m (No. 12)
Asymmetric unit:
Ce  0.000  0.000  0.000 (multiplicity 2)
Ce  0.000  0.333  0.000 (multiplicity 4)
Y  0.000  0.167  0.500 (multiplicity 4)
Zr  0.000  0.500  0.500 (multiplicity 2)
N  0.239  0.341  0.738 (multiplicity 8)
N  0.239  0.500  0.260 (multiplicity 4)

Uncorrected formation energy in kJ/mol of atoms: -155
E in eV per cell: -216.94
Total magnetization in μB per formula unit: 0.00

=====

# 18
Computed, not measured: a geometry-optimized Ce2YZrN5 structure at the GGA-PBE level of DFT.

a b c (Å): 3.589 13.830 11.390
angles (deg): 90.00 90.00 90.00
Space group Cmc2_1 (No. 36)
Asymmetric unit:
Ce  0.000  0.132  0.000 (multiplicity 4)
Ce  0.000  0.136  0.526 (multiplicity 4)
Y  0.000  0.240  0.274 (multiplicity 4)
Zr  0.000  0.491  0.771 (multiplicity 4)
N  0.000  0.072  0.325 (multiplicity 4)
N  0.000  0.277  0.928 (multiplicity 4)
N  0.000  0.286  0.631 (multiplicity 4)
N  0.000  0.386  0.374 (multiplicity 4)
N  0.000  0.453  0.100 (multiplicity 4)

Uncorrected formation energy in kJ/mol of atoms: -136
E in eV per cell: -324.95
Total magnetization in μB per formula unit: 0.00

=====

# 19
Computed, not measured: a geometry-optimized CeY2ZrN4 structure at the GGA-PBE level of DFT.

a b c (Å): 5.942 3.437 5.974
angles (deg): 90.00 109.21 90.00
Space group P2/m (No. 10)
Asymmetric unit:
Ce  0.000  0.000  0.000 (multiplicity 1)
Y  0.500  0.000  0.500 (multiplicity 1)
Y  0.500  0.500  0.000 (multiplicity 1)
Zr  0.000  0.500  0.500 (multiplicity 1)
N  0.236  0.000  0.737 (multiplicity 2)
N  0.243  0.500  0.260 (multiplicity 2)

Uncorrected formation energy in kJ/mol of atoms: -158
E in eV per cell: -73.82
Total magnetization in μB per formula unit: 0.00

=====

# 20
Computed, not measured: a geometry-optimized Ce2Y3ZrN6 structure at the GGA-PBE level of DFT.

a b c (Å): 6.016 10.416 5.994
angles (deg): 90.00 109.51 90.00
Space group C2/m (No. 12)
Asymmetric unit:
Ce  0.000  0.167  0.000 (multiplicity 4)
Y  0.000  0.000  0.500 (multiplicity 2)
Y  0.000  0.335  0.500 (multiplicity 4)
Zr  0.000  0.500  0.000 (multiplicity 2)
N  0.240  0.500  0.755 (multiplicity 4)
N  0.241  0.339  0.242 (multiplicity 8)

Uncorrected formation energy in kJ/mol of atoms: -157
E in eV per cell: -218.53
Total magnetization in μB per formula unit: 0.00

=====

# 21
Computed, not measured: a geometry-optimized Ce3YZr2N6 structure at the GGA-PBE level of DFT.

a b c (Å): 5.922 10.257 6.026
angles (deg): 90.00 109.11 90.00
Space group C2/m (No. 12)
Asymmetric unit:
Ce  0.000  0.000  0.000 (multiplicity 2)
Ce  0.000  0.334  0.000 (multiplicity 4)
Y  0.000  0.500  0.500 (multiplicity 2)
Zr  0.000  0.167  0.500 (multiplicity 4)
N  0.231  0.000  0.729 (multiplicity 4)
N  0.250  0.172  0.269 (multiplicity 8)

Uncorrected formation energy in kJ/mol of atoms: -157
E in eV per cell: -221.58
Total magnetization in μB per formula unit: 0.00